Material: ReTc3Ru2
Method: DFT, PBE-GGA
State: optimized geometry

Values from the calculation:
Uncorrected energy = -10.2606 eV/atom
DFT formation energy = 0.09 eV per atom

Unit cell a=5.1065 b=5.1065 c=6.9292 alpha=98.66 beta=98.66 gamma=94.46
Last column: nearest neighbours and their distance in Å.
Sites, in units of the cell vectors:
Re1 0.0840 0.9160 0.7500  5 Tc 2.50-2.70
Re2 0.9160 0.0840 0.2500  5 Tc 2.50-2.70
Tc1 0.1666 0.3339 0.0018  3 Tc 2.49-2.72, 2 Re 2.51-2.70
Tc2 0.3339 0.1666 0.5018  3 Tc 2.49-2.72, 2 Re 2.51-2.70
Tc3 0.4174 0.5826 0.7500  4 Tc 2.49-2.72, 1 Re 2.50
Tc4 0.5826 0.4174 0.2500  4 Tc 2.49-2.72, 1 Re 2.50
Tc5 0.6661 0.8334 0.4982  3 Tc 2.49-2.72, 2 Re 2.51-2.70
Tc6 0.8334 0.6661 0.9982  3 Tc 2.49-2.72, 2 Re 2.51-2.70
Ru1 0.1241 0.6258 0.3749  2 Ru 2.71, 9 Tc 2.83-2.85, 3 Re 2.84
Ru2 0.3742 0.8759 0.1251  2 Ru 2.71, 9 Tc 2.83-2.85, 3 Re 2.84
Ru3 0.6258 0.1241 0.8749  2 Ru 2.71, 9 Tc 2.83-2.85, 3 Re 2.84
Ru4 0.8759 0.3742 0.6251  2 Ru 2.71, 9 Tc 2.83-2.85, 3 Re 2.84

---

Material: ReTcRu2
Method: DFT, PBE-GGA
State: optimized geometry

Values from the calculation:
Uncorrected energy = -9.9630 eV/atom
ΔE to the lowest computed polymorph = 0.456 eV/atom
DFT formation energy = 0.38 eV per atom

Unit cell a=3.2109 b=3.2109 c=5.7252 alpha=90.00 beta=90.00 gamma=90.00
Last column: nearest neighbours and their distance in Å.
Sites, in units of the cell vectors:
Re1 0.0000 0.0000 0.0000  5 Ru 2.56-2.70, 4 Tc 2.74
Tc1 0.5000 0.5000 0.7315  6 Ru 2.71-3.00, 4 Re 2.74
Ru1 0.0000 0.0000 0.4725  2 Re 2.70-3.02, 4 Tc 2.71, 4 Ru 2.73
Ru2 0.5000 0.5000 0.2078  4 Re 2.56, 1 Tc 2.73, 4 Ru 2.73

---

Material: Re2TcRu
Method: DFT, PBE-GGA
State: optimized geometry

Values from the calculation:
Uncorrected energy = -11.0736 eV/atom
ΔE to the lowest computed polymorph = 0.025 eV/atom
DFT formation energy = 0.06 eV per atom

Unit cell a=9.1262 b=9.1262 c=9.1262 alpha=17.30 beta=17.30 gamma=17.30
Last column: nearest neighbours and their distance in Å.
Sites, in units of the cell vectors:
Re1 0.0000 0.0000 0.0000  3 Ru 2.71, 9 Re 2.75-2.79
Re2 0.2480 0.2480 0.2480  3 Tc 2.72, 9 Re 2.75-2.79
Tc1 0.4993 0.4993 0.4993  3 Re 2.72, 6 Tc 2.75, 3 Ru 2.77
Ru1 0.7482 0.7482 0.7482  3 Re 2.71, 6 Ru 2.75, 3 Tc 2.77

---

Material: ReTc2Ru2
Method: DFT, PBE-GGA
State: optimized geometry

Values from the calculation:
Uncorrected energy = -10.0730 eV/atom
ΔE to the lowest computed polymorph = 0.328 eV/atom
DFT formation energy = 0.27 eV per atom

Unit cell a=7.3156 b=7.3156 c=2.7757 alpha=90.00 beta=90.00 gamma=90.00
Last column: nearest neighbours and their distance in Å.
Sites, in units of the cell vectors:
Re1 0.0000 0.0000 0.0000  2 Re 2.78, 4 Ru 2.89, 8 Tc 3.04
Re2 0.5000 0.5000 0.0000  2 Re 2.78, 4 Ru 2.89, 8 Tc 3.04
Tc1 0.1718 0.3282 0.5000  6 Ru 2.52-2.60, 2 Tc 2.78
Tc2 0.3282 0.8282 0.5000  6 Ru 2.52-2.60, 2 Tc 2.78
Tc3 0.6718 0.1718 0.5000  6 Ru 2.52-2.60, 2 Tc 2.78
Tc4 0.8282 0.6718 0.5000  6 Ru 2.52-2.60, 2 Tc 2.78
Ru1 0.1251 0.6251 0.0000  6 Tc 2.52-2.60, 3 Ru 2.59-2.78
Ru2 0.3749 0.1251 0.0000  6 Tc 2.52-2.60, 3 Ru 2.59-2.78
Ru3 0.6251 0.8749 0.0000  6 Tc 2.52-2.60, 3 Ru 2.59-2.78
Ru4 0.8749 0.3749 0.0000  6 Tc 2.52-2.60, 3 Ru 2.59-2.78

---

Material: ReTcRu2
Method: DFT, PBE-GGA
State: optimized geometry

Values from the calculation:
Uncorrected energy = -10.4008 eV/atom
ΔE to the lowest computed polymorph = 0.018 eV/atom
DFT formation energy = -0.06 eV per atom

Unit cell a=4.7741 b=4.3462 c=11.0252 alpha=90.00 beta=90.00 gamma=90.00
Last column: nearest neighbours and their distance in Å.
Sites, in units of the cell vectors:
Re1 0.0848 0.2500 0.0616  2 Re 2.69, 7 Ru 2.69-2.76, 3 Tc 2.74-2.77
Re2 0.4152 0.7500 0.5616  2 Re 2.69, 7 Ru 2.69-2.76, 3 Tc 2.74-2.77
Re3 0.5848 0.2500 0.4384  2 Re 2.69, 7 Ru 2.69-2.76, 3 Tc 2.74-2.77
Re4 0.9152 0.7500 0.9384  2 Re 2.69, 7 Ru 2.69-2.76, 3 Tc 2.74-2.77
Tc1 0.0813 0.2500 0.3131  7 Ru 2.68-2.75, 3 Re 2.74-2.77, 2 Tc 2.76
Tc2 0.4187 0.7500 0.8131  7 Ru 2.68-2.75, 3 Re 2.74-2.77, 2 Tc 2.76
Tc3 0.5813 0.2500 0.1869  7 Ru 2.68-2.75, 3 Re 2.74-2.77, 2 Tc 2.76
Tc4 0.9187 0.7500 0.6869  7 Ru 2.68-2.75, 3 Re 2.74-2.77, 2 Tc 2.76
Ru1 0.0826 0.2500 0.5630  3 Tc 2.68-2.75, 4 Re 2.69-2.76, 5 Ru 2.70-2.76
Ru2 0.0842 0.2500 0.8118  4 Tc 2.69-2.70, 3 Re 2.71-2.75, 5 Ru 2.74-2.76
Ru3 0.4158 0.7500 0.3118  4 Tc 2.69-2.70, 3 Re 2.71-2.75, 5 Ru 2.74-2.76
Ru4 0.4174 0.7500 0.0630  3 Tc 2.68-2.75, 4 Re 2.69-2.76, 5 Ru 2.70-2.76
Ru5 0.5826 0.2500 0.9370  3 Tc 2.68-2.75, 4 Re 2.69-2.76, 5 Ru 2.70-2.76
Ru6 0.5842 0.2500 0.6882  4 Tc 2.69-2.70, 3 Re 2.71-2.75, 5 Ru 2.74-2.76
Ru7 0.9158 0.7500 0.1882  4 Tc 2.69-2.70, 3 Re 2.71-2.75, 5 Ru 2.74-2.76
Ru8 0.9174 0.7500 0.4370  3 Tc 2.68-2.75, 4 Re 2.69-2.76, 5 Ru 2.70-2.76

---

Material: ReTc2Ru
Method: DFT, PBE-GGA
State: optimized geometry

Values from the calculation:
Uncorrected energy = -9.2126 eV/atom
ΔE to the lowest computed polymorph = 1.436 eV/atom
DFT formation energy = 1.40 eV per atom

Unit cell a=6.8093 b=6.8093 c=6.8093 alpha=131.73 beta=131.73 gamma=70.65
Last column: nearest neighbours and their distance in Å.
Sites, in units of the cell vectors:
Re1 0.0000 0.0000 0.0000  4 Tc 2.43
Re2 0.7500 0.2500 0.5000  4 Tc 2.43
Tc1 0.1299 0.6250 0.0049  2 Ru 2.39, 2 Re 2.43
Tc2 0.3750 0.3799 0.5049  2 Ru 2.39, 2 Re 2.43
Tc3 0.6201 0.1250 0.9951  2 Ru 2.39, 2 Re 2.43
Tc4 0.8750 0.8701 0.4951  2 Ru 2.39, 2 Re 2.43
Ru1 0.2500 0.7500 0.5000  4 Tc 2.39
Ru2 0.5000 0.5000 0.0000  4 Tc 2.39

---

Material: ReTcRu2
Method: DFT, PBE-GGA
State: optimized geometry

Values from the calculation:
Uncorrected energy = -9.8307 eV/atom
ΔE to the lowest computed polymorph = 0.589 eV/atom
DFT formation energy = 0.51 eV per atom

Unit cell a=4.3623 b=4.3623 c=4.3623 alpha=60.00 beta=60.00 gamma=60.00
Last column: nearest neighbours and their distance in Å.
Sites, in units of the cell vectors:
Re1 0.0000 0.0000 0.0000  8 Ru 2.67
Tc1 0.5000 0.5000 0.5000  8 Ru 2.67
Ru1 0.2500 0.2500 0.2500  4 Tc 2.67, 4 Re 2.67
Ru2 0.7500 0.7500 0.7500  4 Re 2.67, 4 Tc 2.67

---

Material: Re4TcRu3
Method: DFT, PBE-GGA
State: optimized geometry

Values from the calculation:
Uncorrected energy = -11.0653 eV/atom
DFT formation energy = -0.07 eV per atom

Unit cell a=5.5060 b=5.5060 c=5.1944 alpha=105.49 beta=105.49 gamma=119.73
Last column: nearest neighbours and their distance in Å.
Sites, in units of the cell vectors:
Re1 0.0000 0.0000 0.0000  6 Re 2.71-2.78, 2 Tc 2.71, 4 Ru 2.74-2.76
Re2 0.0015 0.5048 0.9997  6 Ru 2.70-2.76, 1 Tc 2.72, 5 Re 2.72-2.80
Re3 0.4952 0.9985 0.0003  6 Ru 2.70-2.76, 1 Tc 2.72, 5 Re 2.72-2.80
Re4 0.5794 0.4206 0.5000  4 Re 2.71-2.72, 6 Ru 2.71-2.76, 2 Tc 2.76
Tc1 0.0804 0.9196 0.5000  6 Re 2.71-2.76, 6 Ru 2.71-2.77
Ru1 0.0786 0.4226 0.4998  7 Re 2.70-2.76, 2 Tc 2.73-2.77, 3 Ru 2.73-2.77
Ru2 0.4982 0.5018 0.0000  8 Re 2.71-2.76, 2 Tc 2.71, 2 Ru 2.73
Ru3 0.5774 0.9214 0.5002  7 Re 2.70-2.76, 2 Tc 2.73-2.77, 3 Ru 2.73-2.77

---

Material: ReTc4Ru
Method: DFT, PBE-GGA
State: optimized geometry

Values from the calculation:
Uncorrected energy = -10.2110 eV/atom
ΔE to the lowest computed polymorph = 0.257 eV/atom
DFT formation energy = 0.32 eV per atom

Unit cell a=5.0380 b=5.0380 c=5.0380 alpha=60.00 beta=60.00 gamma=60.00
Last column: nearest neighbours and their distance in Å.
Sites, in units of the cell vectors:
Re1 0.0000 0.0000 0.0000  12 Tc 2.95, 4 Ru 3.09
Tc1 0.3755 0.3755 0.3755  6 Tc 2.51-2.53
Tc2 0.3755 0.3755 0.8736  6 Tc 2.51-2.53
Tc3 0.3755 0.8736 0.3755  6 Tc 2.51-2.53
Tc4 0.8736 0.3755 0.3755  6 Tc 2.51-2.53
Ru1 0.7500 0.7500 0.7500  12 Tc 2.95, 4 Re 3.09

---

Material: Re6TcRu2
Method: DFT, PBE-GGA
State: optimized geometry

Values from the calculation:
Uncorrected energy = -11.3698 eV/atom
DFT formation energy = 0.14 eV per atom

Unit cell a=7.2047 b=7.2047 c=9.0202 alpha=128.76 beta=128.76 gamma=53.99
Last column: nearest neighbours and their distance in Å.
Sites, in units of the cell vectors:
Re1 0.0541 0.1293 0.2017  3 Re 2.54-2.79, 1 Ru 2.70, 1 Tc 2.73
Re2 0.1123 0.3352 0.5761  4 Re 2.54-2.79, 2 Ru 2.55-2.56, 1 Tc 2.69
Re3 0.1293 0.0541 0.7017  3 Re 2.54-2.79, 1 Ru 2.70, 1 Tc 2.73
Re4 0.1414 0.5561 0.9971  3 Ru 2.55-2.83, 2 Re 2.63-2.72, 1 Tc 2.68
Re5 0.3352 0.1123 0.0761  4 Re 2.54-2.79, 2 Ru 2.55-2.56, 1 Tc 2.69
Re6 0.4439 0.8586 0.5029  3 Ru 2.55-2.83, 2 Re 2.63-2.72, 1 Tc 2.68
Re7 0.5561 0.1414 0.4971  3 Ru 2.55-2.83, 2 Re 2.63-2.72, 1 Tc 2.68
Re8 0.6648 0.8877 0.9239  4 Re 2.54-2.79, 2 Ru 2.55-2.56, 1 Tc 2.69
Re9 0.8586 0.4439 0.0029  3 Ru 2.55-2.83, 2 Re 2.63-2.72, 1 Tc 2.68
Re10 0.8707 0.9459 0.2983  3 Re 2.54-2.79, 1 Ru 2.70, 1 Tc 2.73
Re11 0.8877 0.6648 0.4239  4 Re 2.54-2.79, 2 Ru 2.55-2.56, 1 Tc 2.69
Re12 0.9459 0.8707 0.7983  3 Re 2.54-2.79, 1 Ru 2.70, 1 Tc 2.73
Tc1 0.3850 0.6150 0.7500  4 Ru 2.67-2.75, 8 Re 2.68-2.87
Tc2 0.6150 0.3850 0.2500  4 Ru 2.67-2.75, 8 Re 2.68-2.87
Ru1 0.2622 0.5444 0.3745  6 Re 2.55-2.83, 1 Ru 2.61, 2 Tc 2.67-2.75
Ru2 0.4556 0.7378 0.1255  6 Re 2.55-2.83, 1 Ru 2.61, 2 Tc 2.67-2.75
Ru3 0.5444 0.2622 0.8745  6 Re 2.55-2.83, 1 Ru 2.61, 2 Tc 2.67-2.75
Ru4 0.7378 0.4556 0.6255  6 Re 2.55-2.83, 1 Ru 2.61, 2 Tc 2.67-2.75

---

Material: Re2TcRu
Method: DFT, PBE-GGA
State: optimized geometry

Values from the calculation:
Uncorrected energy = -11.0975 eV/atom
ΔE to the lowest computed polymorph = 0.001 eV/atom
DFT formation energy = 0.04 eV per atom

Unit cell a=4.7581 b=4.7581 c=4.7581 alpha=131.90 beta=131.90 gamma=70.39
Last column: nearest neighbours and their distance in Å.
Sites, in units of the cell vectors:
Re1 0.0000 0.0000 0.0000  4 Tc 2.74, 4 Re 2.75, 4 Ru 2.75
Re2 0.7500 0.2500 0.5000  4 Ru 2.74, 4 Tc 2.75, 4 Re 2.75
Tc1 0.5000 0.5000 0.0000  8 Re 2.74-2.75, 4 Ru 2.75
Ru1 0.2500 0.7500 0.5000  8 Re 2.74-2.75, 4 Tc 2.75

---

Material: Re2TcRu
Method: DFT, PBE-GGA
State: optimized geometry

Values from the calculation:
Uncorrected energy = -11.0986 eV/atom
ΔE to the lowest computed polymorph = 0.000 eV/atom
DFT formation energy = 0.04 eV per atom

Unit cell a=4.7552 b=4.7528 c=3.8814 alpha=65.94 beta=65.87 gamma=48.19
Last column: nearest neighbours and their distance in Å.
Sites, in units of the cell vectors:
Re1 0.2500 0.2500 0.2500  4 Re 2.74-2.75, 4 Ru 2.74, 4 Tc 2.74
Re2 0.7500 0.7500 0.7500  4 Re 2.74-2.75, 4 Ru 2.74, 4 Tc 2.74
Tc1 0.0000 0.0000 0.0000  4 Ru 2.74-2.75, 8 Re 2.74
Ru1 0.5000 0.5000 0.5000  4 Tc 2.74-2.75, 8 Re 2.74